[1]
The following is a DFT calculation (GGA-PBE) of a geometry-optimized InTcPO structure.

Lattice parameters (Å, degrees): 3.843 5.906 6.059 90.00 90.00 90.00
Fractional positions:
Tc (0.000, 0.235, 0.956)
In (0.500, 0.762, 0.055)
P (0.000, 0.430, 0.280)
In (0.500, 0.238, 0.555)
Tc (0.000, 0.765, 0.456)
O (0.500, 0.142, 0.964)
O (0.500, 0.858, 0.464)
P (0.000, 0.570, 0.780)

Its energy relative to the lowest polymorph listed for this composition is 322.9 meV/atom. As for the magnetization: 0.0 μB/cell.


[2]
The following is a DFT calculation (GGA-PBE) of a geometry-optimized InTcPO structure.

Lattice parameters (Å, degrees): 3.109 6.899 5.818 90.00 90.00 90.00
Last column: magnetic moment on the atom in μB.
Fractional positions:
Tc (0.500, 0.489, 0.094)  0.27
O (0.500, 0.282, 0.352)  0.02
In (0.000, 0.067, 0.454)  0.01
In (0.000, 0.933, 0.954)  0.01
P (0.000, 0.327, 0.854)  -0.01
P (0.000, 0.673, 0.354)  -0.01
Tc (0.500, 0.511, 0.594)  0.26
O (0.500, 0.718, 0.852)  0.02

Its energy relative to the lowest polymorph listed for this composition is 83.1 meV/atom. As for the magnetization: 0.6 μB/cell.